No. 1
An optimized crystal structure of Li2Al2Au7. Source: Alexandria, functional PBE.

Values from the calculation:
* crystal system: monoclinic
* distance to the lowest polymorph of the same formula: 4.8 kJ per mole of atoms
* N(E_F): 0.22 states/eV/atom
* energy of formation from the pure elements: -3.4 eV/f.u.

CIF file:
```
data_Li2Al2Au7
_cell_length_a 9.5257
_cell_length_b 7.9077
_cell_length_c 5.4091
_cell_angle_alpha 90.00
_cell_angle_beta 98.65
_cell_angle_gamma 90.00
_symmetry_space_group_name_H-M 'C 1 2/m 1'
_symmetry_Int_Tables_number 12
_symmetry_space_group_name_Hall '-C 2y'
loop_
_atom_site_label
_atom_site_type_symbol
_atom_site_fract_x
_atom_site_fract_y
_atom_site_fract_z
Li1 Li 0.0000 0.1914 0.0000
Al1 Al 0.2493 0.0000 0.3408
Au1 Au 0.0000 0.0000 0.5000
Au2 Au 0.0036 0.5000 0.2507
Au3 Au 0.2322 0.1860 0.7588
```

No. 2
An optimized crystal structure of Li2AlAu3. Source: Alexandria, functional PBE.

Values from the calculation:
* crystal system: monoclinic
* distance to the lowest polymorph of the same formula: 3.5 kJ per mole of atoms
* N(E_F): 0.20 states/eV/atom
* energy of formation from the pure elements: -3.0 eV/f.u.

CIF file:
```
data_Li2AlAu3
_cell_length_a 13.8837
_cell_length_b 5.3684
_cell_length_c 5.1475
_cell_angle_alpha 90.00
_cell_angle_beta 95.76
_cell_angle_gamma 90.00
_symmetry_space_group_name_H-M 'C 1 2/c 1'
_symmetry_Int_Tables_number 15
_symmetry_space_group_name_Hall '-C 2yc'
loop_
_atom_site_label
_atom_site_type_symbol
_atom_site_fract_x
_atom_site_fract_y
_atom_site_fract_z
Li1 Li 0.1711 0.1161 0.0808
Al1 Al 0.0000 0.3638 0.2500
Au1 Au 0.0000 0.1293 0.7500
Au2 Au 0.1649 0.3835 0.5604
```

No. 3
An optimized crystal structure of LiAlAu6. Source: Alexandria, functional PBE.

Values from the calculation:
* crystal system: triclinic
* distance to the lowest polymorph of the same formula: 2.3 kJ per mole of atoms
* N(E_F): 0.20 states/eV/atom
* energy of formation from the pure elements: -1.9 eV/f.u.

CIF file:
```
data_LiAlAu6
_cell_length_a 4.9571
_cell_length_b 5.3770
_cell_length_c 5.7052
_cell_angle_alpha 73.35
_cell_angle_beta 85.15
_cell_angle_gamma 86.97
_symmetry_space_group_name_H-M 'P -1'
_symmetry_Int_Tables_number 2
_symmetry_space_group_name_Hall '-P 1'
loop_
_atom_site_label
_atom_site_type_symbol
_atom_site_fract_x
_atom_site_fract_y
_atom_site_fract_z
Li1 Li 0.0000 0.0000 0.0000
Al1 Al 0.5000 0.5000 0.5000
Au1 Au 0.0498 0.2615 0.4581
Au2 Au 0.2617 0.4467 0.9224
Au3 Au 0.4954 0.9943 0.2523
```